Computed, not measured: a relaxed ScPIr2 crystal at the PBE level of DFT. Values from VASP.

Geometry as Quantum ESPRESSO input:
```
&SYSTEM
  ibrav = 0, nat = 4, ntyp = 3
/
ATOMIC_SPECIES
Sc 44.96 Sc.upf
P 30.97 P.upf
Ir 192.22 Ir.upf
CELL_PARAMETERS angstrom
-2.007 2.007 3.729
2.007 -2.007 3.729
2.007 2.007 -3.729
ATOMIC_POSITIONS angstrom
Sc 0.000 0.000 0.000
P 0.000 0.000 3.729
Ir 2.007 0.000 1.864
Ir 0.000 2.007 1.864
```

Calculated values
**Electronic total energy**: -7.878 eV per atom